Record 1
{
  "formula": "TlZn4",
  "functional": "GGA-PBE",
  "state": "relaxed",
  "dft_energy_ev_per_cell": -6.93,
  "e_form_ev_per_atom": 0.107,
  "n_ef_per_ev_cell": 1.862,
  "e_above_lowest_polymorph_ev_per_atom": 0.0000,
  "lattice_angstrom": [[-2.0369, 2.0369, 5.8814], [2.0369, -2.0369, 5.8814], [2.0369, 2.0369, -5.8814]],
  "species": ["Zn", "Zn", "Zn", "Zn", "Tl"],
  "frac_coords": [[0.7500, 0.2500, 0.5000], [0.3923, 0.3923, 0.0000], [0.2500, 0.7500, 0.5000], [0.6077, 0.6077, 0.0000], [0.0000, 0.0000, 0.0000]]
}

Record 2
{
  "formula": "LaLu3",
  "functional": "GGA-PBE",
  "state": "relaxed",
  "dft_energy_ev_per_cell": -18.10,
  "e_form_ev_per_atom": 0.097,
  "n_ef_per_ev_cell": 4.589,
  "lattice_angstrom": [[-0.3255, -5.6231, 0.0617], [4.3922, -3.0942, -1.6923], [2.9803, -2.9526, 3.7589]],
  "species": ["La", "Lu", "Lu", "Lu"],
  "frac_coords": [[0.5000, 0.5000, 0.5000], [0.2500, 0.2500, 0.2500], [0.7500, 0.7500, 0.7500], [0.0000, 0.0000, 0.0000]]
}

Record 3
{
  "formula": "Ca2GaCu3",
  "functional": "GGA-PBE",
  "state": "relaxed",
  "dft_energy_ev_per_cell": -41.51,
  "e_form_ev_per_atom": -0.240,
  "n_ef_per_ev_cell": 5.841,
  "e_above_lowest_polymorph_ev_per_atom": 0.0000,
  "lattice_angstrom": [[-4.1593, 3.4275, 0.6574], [0.2009, -4.6066, 2.8668], [4.3191, 4.0507, 6.2063]],
  "species": ["Cu", "Cu", "Cu", "Ca", "Ca", "Ga", "Ga", "Ca", "Ca", "Cu", "Cu", "Cu"],
  "frac_coords": [[0.8326, 0.6651, 0.7500], [0.1674, 0.3349, 0.2500], [0.3349, 0.1674, 0.7500], [0.3333, 0.6667, 0.5585], [0.6667, 0.3333, 0.4415], [0.0000, 0.0000, 0.5000], [0.0000, 0.0000, 0.0000], [0.6667, 0.3333, 0.0585], [0.3333, 0.6667, 0.9415], [0.8326, 0.1674, 0.7500], [0.1674, 0.8326, 0.2500], [0.6651, 0.8326, 0.2500]]
}